Record 1
Compound: Tb2Zn5Pd
Source: the Alexandria database
Functional: PBE
Structure: relaxed

Output
As for the energy of formation from the pure elements: -0.44 eV/atom. The calculation puts the calculated density at 8.17 g cm⁻³.

Structure (extended XYZ):
```
16
Lattice="2.0888 -8.0991 0.0000 2.0888 8.0991 0.0000 0.0000 0.0000 9.0215" Properties=species:S:1:pos:R:3 pbc="T T T"
Tb 0.0000 0.0000 0.0000
Tb 0.0000 0.0000 4.5108
Tb 2.0888 5.0434 6.7661
Tb 2.0888 -5.0434 2.2554
Zn 2.0888 4.9778 0.9777
Zn 2.0888 4.9778 3.5331
Zn 2.0888 2.3968 0.1933
Zn 2.0888 2.3968 4.3175
Zn 2.0888 1.7314 6.7661
Zn 2.0888 -1.7314 2.2554
Zn 2.0888 -2.3968 4.7041
Zn 2.0888 -2.3968 8.8282
Zn 2.0888 -4.9778 5.4884
Zn 2.0888 -4.9778 8.0438
Pd 2.0888 0.8193 2.2554
Pd 2.0888 -0.8193 6.7661
```

=====

Record 2
Compound: Sm3DyHg6
Source: the Alexandria database
Functional: PBE
Structure: relaxed

Output
As for the energy of formation from the pure elements: -0.43 eV/atom. The calculation puts the calculated density at 11.56 g cm⁻³.

Structure (extended XYZ):
```
20
Lattice="9.3330 0.0000 0.0000 0.0000 5.1936 0.0000 -3.1392 0.0000 10.7689" Properties=species:S:1:pos:R:3 pbc="T T T"
Sm -1.1003 1.2984 4.1611
Sm 0.7199 3.8952 2.2350
Sm -0.5685 1.2984 10.6822
Sm 6.7623 3.8952 0.0867
Sm 5.4739 1.2984 8.5339
Sm 7.2941 3.8952 6.6078
Dy 2.1931 1.2984 6.5453
Dy 4.0007 3.8952 4.2235
Hg -2.5242 3.8952 9.8241
Hg -0.7090 1.2984 7.5505
Hg 0.9144 3.8952 5.3437
Hg 2.2369 1.2984 3.3759
Hg 0.8209 3.8952 8.6810
Hg 3.7531 3.8952 1.1701
Hg 2.4407 1.2984 9.5988
Hg 5.3729 1.2984 2.0879
Hg 3.9569 3.8952 7.3930
Hg 5.2793 1.2984 5.4252
Hg 6.9027 3.8952 3.2183
Hg 8.7180 1.2984 0.9447
```

=====

Record 3
Compound: Zr4Co
Source: the Alexandria database
Functional: PBE
Structure: relaxed

Output
As for the energy of formation from the pure elements: 0.47 eV/atom. The calculation puts the calculated density at 6.12 g cm⁻³. As for the distance to the lowest polymorph of the same formula: 562.4 meV/atom.

Structure (extended XYZ):
```
10
Lattice="0.0000 4.8641 4.8641 4.8641 0.0000 4.8641 4.8641 4.8641 0.0000" Properties=species:S:1:pos:R:3 pbc="T T T"
Zr 7.4312 4.7291 4.7291
Zr 2.2971 2.2971 2.2971
Zr 4.9991 4.9991 2.2971
Zr 4.9991 2.2971 4.9991
Zr 4.7291 7.4312 4.7291
Zr 4.7291 4.7291 7.4312
Zr 7.4312 7.4312 7.4312
Zr 2.2971 4.9991 4.9991
Co 3.6481 3.6481 3.6481
Co 6.0802 6.0802 6.0802
```

=====

Record 4
Compound: Fe6W7
Source: the Alexandria database
Functional: PBE
Structure: relaxed

Output
As for the energy of formation from the pure elements: 0.59 eV/atom. The calculation puts the calculated density at 13.45 g cm⁻³.

Structure (extended XYZ):
```
13
Lattice="2.5747 1.4865 8.7171 -2.5747 1.4865 8.7171 0.0000 -2.9730 8.7171" Properties=species:S:1:pos:R:3 pbc="T T T"
Fe 0.0000 0.0000 1.1419
Fe 0.0000 0.0000 3.9033
Fe 0.0000 0.0000 8.7118
Fe 0.0000 0.0000 17.4396
Fe 0.0000 0.0000 22.2481
Fe 0.0000 0.0000 25.0096
W -1.2996 -0.7503 10.9349
W 0.0000 -1.5007 15.2166
W -1.2996 0.7503 15.2166
W 0.0000 0.0000 13.0757
W 1.2996 -0.7503 10.9349
W 0.0000 1.5007 10.9349
W 1.2996 0.7503 15.2166
```

=====

Record 5
Compound: Fe5Ir
Source: the Alexandria database
Functional: PBE
Structure: relaxed

Output
As for the energy of formation from the pure elements: 0.35 eV/atom. The calculation puts the calculated density at 10.50 g cm⁻³. As for the distance to the lowest polymorph of the same formula: 384.3 meV/atom.

Structure (extended XYZ):
```
6
Lattice="4.6129 0.0000 0.0000 -2.3065 3.9949 0.0000 0.0000 0.0000 4.0447" Properties=species:S:1:pos:R:3 pbc="T T T"
Fe -1.1532 1.9975 0.0000
Fe 0.0000 2.6633 2.0224
Fe 2.3065 0.0000 0.0000
Fe 1.1532 1.9975 0.0000
Fe 2.3065 1.3316 2.0224
Ir 0.0000 0.0000 2.0224
```

=====

Record 6
Compound: KNaTl
Source: the Alexandria database
Functional: PBE
Structure: relaxed

Output
As for the energy of formation from the pure elements: -0.03 eV/atom. The calculation puts the calculated density at 3.60 g cm⁻³. As for the distance to the lowest polymorph of the same formula: 58.1 meV/atom.

Structure (extended XYZ):
```
6
Lattice="4.6574 -2.6868 0.0000 4.6574 2.6868 0.0000 -0.0084 0.0000 9.8092" Properties=species:S:1:pos:R:3 pbc="T T T"
K 1.5529 0.0000 1.5088
K 7.7536 0.0000 8.3005
Na 4.6558 0.0000 3.3670
Na 4.6507 0.0000 6.4423
Tl 1.5478 0.0000 5.5535
Tl 7.7587 0.0000 4.2557
```